[1]
Material: LaSmPt
Method: DFT, PBE
State: relaxed

Lattice parameters (Å, degrees): 7.176 6.047 11.089 90.00 128.76 90.00
Space group P2_1/c (No. 14)
One atom of each set of equivalent atoms:
La (0.191, 0.151, 0.379)
Sm (0.329, 0.621, 0.634)
Pt (0.325, 0.666, 0.368)

Values from the calculation:
* density of states at the Fermi level: 1.05 states/eV per atom
* energy of formation from the pure elements: -2.20 eV per formula unit
* energy above the lowest structure with this stoichiometry: 0.200 eV per formula unit

[2]
Material: La3SmPt2
Method: DFT, PBE
State: relaxed

Lattice parameters (Å, degrees): 13.340 7.079 7.982 90.00 107.37 90.00
Space group C2/c (No. 15)
One atom of each set of equivalent atoms:
La (0.000, 0.247, 0.250)
La (0.216, 0.499, 0.108)
Sm (0.000, 0.237, 0.750)
Pt (0.123, 0.001, 0.561)

Values from the calculation:
* density of states at the Fermi level: 1.27 states/eV per atom
* energy of formation from the pure elements: -4.73 eV per formula unit

[3]
Material: LaSmPt10
Method: DFT, PBE
State: relaxed

Lattice parameters (Å, degrees): 4.440 5.435 9.381 90.00 90.00 90.00
Space group Pmmm (No. 47)
One atom of each set of equivalent atoms:
La (0.000, 0.000, 0.000)
Sm (0.000, 0.500, 0.500)
Pt (0.000, 0.000, 0.335)
Pt (0.000, 0.500, 0.169)
Pt (0.500, 0.000, 0.500)
Pt (0.500, 0.251, 0.252)
Pt (0.500, 0.500, 0.000)

Values from the calculation:
* density of states at the Fermi level: 0.72 states/eV per atom
* energy of formation from the pure elements: -8.92 eV per formula unit

[4]
Material: LaSmPt
Method: DFT, PBE
State: relaxed

Lattice parameters (Å, degrees): 7.129 7.129 7.129 90.00 90.00 90.00
Space group F-43m (No. 216)
One atom of each set of equivalent atoms:
La (0.000, 0.000, 0.000)
Sm (0.000, 0.000, 0.500)
Pt (0.250, 0.250, 0.250)

Values from the calculation:
* density of states at the Fermi level: 1.30 states/eV per atom
* energy of formation from the pure elements: -2.18 eV per formula unit
* energy above the lowest structure with this stoichiometry: 0.219 eV per formula unit

[5]
Material: La2SmPt
Method: DFT, PBE
State: relaxed

Lattice parameters (Å, degrees): 7.027 4.051 9.744 90.00 104.00 90.00
Space group Cm (No. 8)
One atom of each set of equivalent atoms:
La (0.000, 0.000, 0.000)
La (0.209, 0.000, 0.626)
Sm (0.438, 0.000, 0.313)
Pt (0.104, 0.500, 0.812)

Values from the calculation:
* density of states at the Fermi level: 1.34 states/eV per atom
* energy of formation from the pure elements: -1.99 eV per formula unit
* energy above the lowest structure with this stoichiometry: 0.564 eV per formula unit

[6]
Material: La2SmPt
Method: DFT, PBE
State: relaxed

Lattice parameters (Å, degrees): 3.951 10.218 6.405 90.00 107.96 90.00
Space group P2_1/m (No. 11)
One atom of each set of equivalent atoms:
La (0.137, 0.062, 0.274)
Sm (0.418, 0.250, 0.836)
Pt (0.271, 0.750, 0.542)

Values from the calculation:
* density of states at the Fermi level: 1.48 states/eV per atom
* energy of formation from the pure elements: -2.45 eV per formula unit
* energy above the lowest structure with this stoichiometry: 0.102 eV per formula unit